Density functional theory data (PBE) for an optimized crystal structure of Rb2BPdO4.

Unit cell a=5.1956 b=6.3824 c=10.4188 alpha=84.18 beta=75.56 gamma=65.98
Closest atoms and distances in Å follow each position.
Positions (direct):
B  0.5000  0.0000  0.0000  4 O 1.49
B  0.2500  0.5000  0.5000  4 O 1.49
O  0.7939  0.8433  0.9296  1 B 1.49
O  0.4736  0.3433  0.5704  1 B 1.49
O  0.1831  0.3433  0.4296  1 B 1.49
O  0.3873  0.6567  0.4296  1 B 1.49
O  0.5669  0.1567  0.0704  1 B 1.49
O  0.2764  0.1567  0.9296  1 B 1.49
O  0.9561  0.6567  0.5704  1 B 1.49
O  0.3627  0.8433  0.0704  1 B 1.49
Rb  0.8242  0.0000  0.3517  4 O 3.00-3.10
Rb  0.9258  0.5000  0.1483  4 O 3.00-3.10
Rb  0.1758  0.0000  0.6483  4 O 3.00-3.10
Rb  0.5742  0.5000  0.8517  4 O 3.00-3.10
Pd  0.0000  0.0000  0.0000  4 O 2.02
Pd  0.7500  0.5000  0.5000  4 O 2.02

Output
- Crystal system: orthorhombic
- E_tot: -5.56 eV/atom
- Calculated density: 3.8 g/cm³
- Formation energy without anion corrections: -1355 meV/atom
- Magnetic moment: 0.0 μB per formula unit